[1]
Mg3TcF: relaxed, GGA-PBE.

Properties
The calculation puts the uncorrected formation energy at 2.5 eV/f.u. The polymorph energy (0 for the lowest one) comes out at 5.58 eV/f.u. The density of states at the Fermi level is 8.8 states/eV/f.u. The volume is 27.76 Å³ per atom.

Lattice parameters (Å, degrees): 5.1775 5.1775 5.1775 90.00 90.00 90.00
Closest atoms and distances in Å follow each position.
Element x y z (fractional)
Mg: 0.0000 0.5000 0.0000  2 Tc 2.59
Mg: 0.0000 0.0000 0.5000  2 Tc 2.59
Mg: 0.5000 0.0000 0.0000  2 Tc 2.59
Tc: 0.0000 0.0000 0.0000  6 Mg 2.59
F: 0.5000 0.5000 0.5000  12 Mg 3.66

***

[2]
YIN2F: relaxed, GGA-PBE.

Properties
The calculation puts the uncorrected formation energy at 0.0 eV/f.u. The polymorph energy (0 for the lowest one) comes out at 0.00 eV/f.u. The density of states at the Fermi level is 4.6 states/eV/f.u. The volume is 18.38 Å³ per atom.

Lattice parameters (Å, degrees): 4.6504 4.6504 4.2495 90.00 90.00 90.00
Closest atoms and distances in Å follow each position.
Element x y z (fractional)
I: 0.5000 0.5000 0.5000  8 N 3.15, 4 F 3.29
Y: 0.0000 0.0000 0.0000  2 F 2.12, 4 N 2.33
N: 0.0000 0.5000 0.0000  2 Y 2.33
N: 0.5000 0.0000 0.0000  2 Y 2.33
F: 0.0000 0.0000 0.5000  2 Y 2.12

***

[3]
Be2CdCu2: relaxed, GGA-PBE.

Properties
The calculation puts the formation energy at 0.045 eV per atom. The polymorph energy (0 for the lowest one) comes out at 0.00 eV/f.u. The density of states at the Fermi level is 0.8 states/eV/f.u. The volume is 11.99 Å³ per atom.

Lattice parameters (Å, degrees): 6.5479 6.5479 2.7969 90.00 90.00 90.00
Closest atoms and distances in Å follow each position.
Element x y z (fractional)
Be: 0.3749 0.8749 0.0000  1 Be 2.32, 6 Cu 2.33-2.45, 2 Cd 2.59
Be: 0.8749 0.6251 0.0000  1 Be 2.32, 6 Cu 2.33-2.45, 2 Cd 2.59
Be: 0.6251 0.1251 0.0000  1 Be 2.32, 6 Cu 2.33-2.45, 2 Cd 2.59
Be: 0.1251 0.3749 0.0000  1 Be 2.32, 6 Cu 2.33-2.45, 2 Cd 2.59
Cu: 0.1579 0.6579 0.5000  6 Be 2.33-2.45
Cu: 0.6579 0.8421 0.5000  6 Be 2.33-2.45
Cu: 0.8421 0.3421 0.5000  6 Be 2.33-2.45
Cu: 0.3421 0.1579 0.5000  6 Be 2.33-2.45
Cd: 0.0000 0.0000 0.0000  4 Be 2.59, 2 Cd 2.80, 8 Cu 2.84
Cd: 0.5000 0.5000 0.0000  4 Be 2.59, 2 Cd 2.80, 8 Cu 2.84

***

[4]
MnTlCdCl5: relaxed, GGA-PBE.

Properties
The calculation puts the uncorrected formation energy at -8.6 eV/f.u. The density of states at the Fermi level is 0.0 states/eV/f.u. The volume is 29.65 Å³ per atom.

Lattice parameters (Å, degrees): 7.5120 7.5120 9.5405 103.25 103.25 107.18
Closest atoms and distances in Å follow each position.
Element x y z (fractional)
Mn: 0.6851 0.3149 0.2500  4 Cl 2.36-2.37
Mn: 0.3149 0.6851 0.7500  4 Cl 2.36-2.37
Tl: 0.3417 0.6583 0.2500  5 Cl 3.17-3.32
Tl: 0.6583 0.3417 0.7500  5 Cl 3.17-3.32
Cd: 0.0000 0.0000 0.5000  6 Cl 2.57-2.76
Cd: 0.0000 0.0000 0.0000  6 Cl 2.57-2.76
Cl: 0.0792 0.9208 0.2500  2 Cd 2.57
Cl: 0.9208 0.0792 0.7500  2 Cd 2.57
Cl: 0.9073 0.3156 0.1105  1 Mn 2.36
Cl: 0.0927 0.6844 0.8895  1 Mn 2.36
Cl: 0.6844 0.0927 0.3895  1 Mn 2.36
Cl: 0.3156 0.9073 0.6105  1 Mn 2.36
Cl: 0.7526 0.6173 0.4346  1 Mn 2.37
Cl: 0.2474 0.3827 0.5654  1 Mn 2.37
Cl: 0.3827 0.2474 0.0654  1 Mn 2.37
Cl: 0.6173 0.7526 0.9346  1 Mn 2.37

***

[5]
MgCoNi2: relaxed, GGA-PBE.

Properties
The calculation puts the formation energy at 0.055 eV per atom. The density of states at the Fermi level is 4.5 states/eV/f.u. The volume is 12.43 Å³ per atom.

Lattice parameters (Å, degrees): 2.6590 2.6590 7.0315 90.00 90.00 90.00
Closest atoms and distances in Å follow each position.
Element x y z (fractional)
Co: 0.0000 0.0000 0.4710  4 Ni 2.43, 4 Co 2.66
Mg: 0.5000 0.5000 0.7535  4 Mg 2.66, 4 Ni 2.67, 4 Co 2.73-2.74
Ni: 0.0000 0.0000 0.0227  8 Ni 2.48-2.66, 4 Mg 2.67
Ni: 0.5000 0.5000 0.2528  4 Co 2.43, 8 Ni 2.48-2.66

***

[6]
U2SbSe6: relaxed, GGA-PBE.

Properties
The calculation puts the uncorrected formation energy at -7.6 eV/f.u. The density of states at the Fermi level is 9.8 states/eV/f.u. The volume is 33.53 Å³ per atom.

Lattice parameters (Å, degrees): 4.1298 8.3389 9.2277 102.70 102.93 90.00
Closest atoms and distances in Å follow each position.
Element x y z (fractional)
U: 0.8346 0.6734 0.6692  6 Se 2.73-2.84
U: 0.1654 0.3266 0.3308  6 Se 2.73-2.84
Sb: 0.5000 0.0000 0.0000  6 Se 2.88-2.89
Se: 0.3358 0.9008 0.6717  2 U 2.80, 1 Sb 2.88
Se: 0.0095 0.2461 0.0190  1 U 2.73, 2 Sb 2.89
Se: 0.6735 0.5626 0.3470  3 U 2.83-2.84
Se: 0.9905 0.7539 0.9810  1 U 2.73, 2 Sb 2.89
Se: 0.6642 0.0992 0.3283  2 U 2.80, 1 Sb 2.88
Se: 0.3265 0.4374 0.6530  3 U 2.83-2.84

***

[7]
Tm5Co2Os: relaxed, GGA-PBE.

Properties
The calculation puts the formation energy at -0.303 eV per atom. The density of states at the Fermi level is 5.5 states/eV/f.u. The volume is 21.39 Å³ per atom.

Lattice parameters (Å, degrees): 6.9975 6.9975 8.5642 114.11 114.11 90.00
Closest atoms and distances in Å follow each position.
Element x y z (fractional)
Tm: 0.5359 0.6782 0.7141  3 Co 2.87-2.89, 2 Os 2.98
Tm: 0.8218 0.9641 0.2859  3 Co 2.87-2.89, 2 Os 2.98
Tm: 0.0000 0.0000 0.0000  4 Co 2.82
Tm: 0.5000 0.5000 0.0000  4 Co 2.82
Tm: 0.1782 0.0359 0.7141  3 Co 2.87-2.89, 2 Os 2.98
Tm: 0.6782 0.1782 0.7141  3 Co 2.87-2.89, 2 Os 2.98
Tm: 0.0359 0.5359 0.7141  3 Co 2.87-2.89, 2 Os 2.98
Tm: 0.3218 0.8218 0.2859  3 Co 2.87-2.89, 2 Os 2.98
Tm: 0.9641 0.4641 0.2859  3 Co 2.87-2.89, 2 Os 2.98
Tm: 0.4641 0.3218 0.2859  3 Co 2.87-2.89, 2 Os 2.98
Co: 0.1129 0.3871 0.0000  1 Co 2.23
Co: 0.6129 0.1129 0.0000  1 Co 2.23
Co: 0.3871 0.8871 0.0000  1 Co 2.23
Co: 0.8871 0.6129 0.0000  1 Co 2.23
Os: 0.7500 0.7500 0.5000  8 Tm 2.98
Os: 0.2500 0.2500 0.5000  8 Tm 2.98

***

[8]
DyPd7Pt2: relaxed, GGA-PBE.

Properties
The calculation puts the formation energy at 0.114 eV per atom. The density of states at the Fermi level is 14.2 states/eV/f.u. The volume is 21.06 Å³ per atom.

Lattice parameters (Å, degrees): 4.5213 7.3792 7.3793 121.19 90.00 90.00
Closest atoms and distances in Å follow each position.
Element x y z (fractional)
Dy: 0.0000 0.0000 0.0000  10 Pd 2.70-2.98
Pd: 0.0000 0.7897 0.2103  2 Pt 2.54, 1 Dy 2.70
Pd: 0.0000 0.2103 0.7897  2 Pt 2.54, 1 Dy 2.70
Pd: 0.5000 0.0707 0.2936  2 Pt 2.57-2.77, 3 Pd 2.64-2.87
Pd: 0.5000 0.9293 0.7064  2 Pt 2.57-2.77, 3 Pd 2.64-2.87
Pd: 0.5000 0.2936 0.0707  2 Pt 2.57-2.77, 3 Pd 2.64-2.87
Pd: 0.5000 0.7064 0.9293  2 Pt 2.57-2.77, 3 Pd 2.64-2.87
Pd: 0.5000 0.5000 0.5000  2 Pt 2.56, 4 Pd 2.71
Pt: 0.5000 0.6994 0.3006  7 Pd 2.54-2.77
Pt: 0.5000 0.3006 0.6994  7 Pd 2.54-2.77

***

[9]
Rb2SbOs: relaxed, GGA-PBE.

Properties
The calculation puts the uncorrected formation energy at 2.8 eV/f.u. The density of states at the Fermi level is 3.5 states/eV/f.u. The volume is 61.36 Å³ per atom.

Lattice parameters (Å, degrees): 13.9835 13.9835 10.2015 46.74 46.74 90.00
Closest atoms and distances in Å follow each position.
Element x y z (fractional)
Sb: 0.5000 0.5000 0.0000  2 Os 2.51
Sb: 0.2500 0.7500 0.5000  2 Os 2.51
Os: 0.0000 0.0000 0.0000  2 Sb 2.51
Os: 0.7500 0.2500 0.5000  2 Sb 2.51
Rb: 0.3906 0.1250 0.2500  2 Sb 3.56, 2 Os 3.98
Rb: 0.3594 0.6250 0.2500  2 Sb 3.56, 2 Os 3.98
Rb: 0.3750 0.6094 0.7500  2 Sb 3.56, 2 Os 3.98
Rb: 0.8750 0.6406 0.7500  2 Sb 3.56, 2 Os 3.98

***

[10]
CaPr2Sm: relaxed, GGA-PBE.

Properties
The calculation puts the formation energy at 0.029 eV per atom. The polymorph energy (0 for the lowest one) comes out at 0.01 eV/f.u. The density of states at the Fermi level is 5.8 states/eV/f.u. The volume is 36.67 Å³ per atom.

Lattice parameters (Å, degrees): 3.7091 3.7091 12.4947 81.46 81.46 60.00
Closest atoms and distances in Å follow each position.
Element x y z (fractional)
Pr: 0.7462 0.7462 0.7613  3 Sm 3.64, 6 Pr 3.71, 3 Ca 3.86
Pr: 0.2538 0.2538 0.2387  3 Sm 3.64, 6 Pr 3.71, 3 Ca 3.86
Ca: 0.5000 0.5000 0.5000  6 Ca 3.71, 6 Pr 3.86
Sm: 0.0000 0.0000 0.0000  6 Pr 3.64, 6 Sm 3.71

***

Copy entry 5 word for word.
MgCoNi2: relaxed, GGA-PBE.

Properties
The calculation puts the formation energy at 0.055 eV per atom. The density of states at the Fermi level is 4.5 states/eV/f.u. The volume is 12.43 Å³ per atom.

Lattice parameters (Å, degrees): 2.6590 2.6590 7.0315 90.00 90.00 90.00
Closest atoms and distances in Å follow each position.
Element x y z (fractional)
Co: 0.0000 0.0000 0.4710  4 Ni 2.43, 4 Co 2.66
Mg: 0.5000 0.5000 0.7535  4 Mg 2.66, 4 Ni 2.67, 4 Co 2.73-2.74
Ni: 0.0000 0.0000 0.0227  8 Ni 2.48-2.66, 4 Mg 2.67
Ni: 0.5000 0.5000 0.2528  4 Co 2.43, 8 Ni 2.48-2.66

***

What is the formula in the sixth record? U2SbSe6